Record 1
A geometry-optimized Na2NiH3 structure. Source: Alexandria, functional PBE.

a b c (Å): 5.1533 9.1293 5.4505
angles (deg): 90.00 107.03 90.00
With the nearest neighbours (Å) after each atom.
Space group C2/m (No. 12)
Symmetry-distinct sites (fractional):
Na: 0.0000 0.0000 0.0000 x2  6 H 2.23-2.29
Na: 0.0000 0.1726 0.5000 x4  2 H 2.19
Na: 0.0000 0.5000 0.5000 x2  2 H 2.17
Ni: 0.0000 0.3373 0.0000 x4  4 H 1.73-1.81
H: 0.1547 0.5000 0.1692 x4  2 Ni 1.81
H: 0.2281 0.3046 0.8291 x8  1 Ni 1.73

V = 10.2 A^3/atom
theoretical density = 2.918 g cm⁻³
ΔE to the lowest computed polymorph = 0.152 eV/atom
energy = -3.08 eV per atom
total moment = 0.000 μB per atom

Record 2
A geometry-optimized Na2NiH2 structure. Source: Alexandria, functional PBE.

a b c (Å): 5.5032 5.5032 4.0176
angles (deg): 90.00 90.00 90.00
With the nearest neighbours (Å) after each atom.
Space group P4/mbm (No. 127)
Symmetry-distinct sites (fractional):
Na: 0.1659 0.3341 0.0000 x4  2 H 2.22
Ni: 0.0000 0.0000 0.5000 x2  4 H 1.97
H: 0.2131 0.7131 0.5000 x4  2 Ni 1.97

V = 12.2 A^3/atom
theoretical density = 2.912 g cm⁻³
energy = -2.77 eV per atom
total moment = 0.000 μB per atom

Record 3
A geometry-optimized Na2NpNi3H12 structure. Source: Alexandria, functional PBE.

a b c (Å): 6.4881 6.4881 13.6657
angles (deg): 90.00 90.00 120.00
With the nearest neighbours (Å) after each atom.
Space group R-3m (No. 166, hexagonal axes)
Symmetry-distinct sites (fractional):
Na: 0.0000 0.0000 0.1171 x6  3 H 2.18
Np: 0.0000 0.0000 0.5000 x3  12 H 2.20-2.42
Ni: 0.0000 0.5000 0.0000 x9  6 H 1.56-1.69
H: 0.0369 0.5185 0.8866 x18  1 Ni 1.56
H: 0.0948 0.5474 0.3137 x18  2 Ni 1.69

V = 9.2 A^3/atom
theoretical density = 4.711 g cm⁻³
energy = -4.17 eV per atom
total moment = 0.249 μB per atom